Record 1
The following is a DFT calculation (GGA-PBE) of a relaxed structure of Rb2NaGeI6.

Geometry as POSCAR:
```
Rb2NaGeI6
1.0
-5.992 5.087 3.242
-5.548 -2.855 -5.777
-7.444 -3.257 2.502
I Na Ge Rb
6 1 1 2
direct
0.239 0.239 0.521 I
0.761 0.761 0.479 I
0.239 0.239 0.000 I
0.761 0.761 0.000 I
0.761 0.239 0.000 I
0.239 0.761 0.000 I
0.500 0.500 0.000 Na
0.000 0.000 0.000 Ge
0.750 0.250 0.500 Rb
0.250 0.750 0.500 Rb
```

Values from the calculation:
E_form (uncorrected): -84 kJ per mole of atoms

Record 2
The following is a DFT calculation (GGA-PBE) of a relaxed structure of Ba2CBr.

Geometry as POSCAR:
```
Ba2CBr
1.0
0.000 3.849 3.849
3.849 0.000 3.849
3.849 3.849 0.000
C Ba Br
1 2 1
direct
0.000 0.000 0.000 C
0.250 0.250 0.250 Ba
0.750 0.750 0.750 Ba
0.500 0.500 0.500 Br
```

Values from the calculation:
E_form (uncorrected): 3 kJ per mole of atoms

Record 3
The following is a DFT calculation (GGA-PBE) of a relaxed structure of TaBeFe2Ag.

Geometry as POSCAR:
```
TaBeFe2Ag
1.0
-1.194 -3.660 2.237
3.551 -2.147 -1.617
2.767 1.552 4.017
Be Fe Ag Ta
1 2 1 1
direct
0.500 0.500 0.500 Be
0.000 0.500 0.000 Fe
0.500 0.000 0.000 Fe
0.000 0.000 0.500 Ag
0.000 0.000 0.000 Ta
```

Values from the calculation:
ΔE_f: 1.819 eV/atom

Record 4
The following is a DFT calculation (GGA-PBE) of a relaxed structure of BaZrZn2Te.

Geometry as POSCAR:
```
BaZrZn2Te
1.0
-5.187 0.961 2.039
-1.983 -4.678 -2.840
1.170 -3.226 4.496
Zn Te Ba Zr
2 1 1 1
direct
0.000 0.000 0.500 Zn
0.500 0.000 0.000 Zn
0.500 0.500 0.500 Te
0.000 0.000 0.000 Ba
0.000 0.500 0.000 Zr
```

Values from the calculation:
E_form (uncorrected): 120 kJ per mole of atoms

Record 5
The following is a DFT calculation (GGA-PBE) of a relaxed structure of PaFeH6Rh.

Geometry as POSCAR:
```
PaFeH6Rh
1.0
-1.320 1.070 4.150
2.726 -0.745 3.483
1.620 3.779 -0.459
Pa Fe H Rh
1 1 6 1
direct
0.000 0.000 0.000 Pa
0.333 0.333 0.500 Fe
0.022 0.489 0.224 H
0.489 0.022 0.776 H
0.489 0.489 0.776 H
0.022 0.489 0.776 H
0.489 0.489 0.224 H
0.489 0.022 0.224 H
0.667 0.667 0.500 Rh
```

Record 6
The following is a DFT calculation (GGA-PBE) of a relaxed structure of LiP3.

Geometry as POSCAR:
```
LiP3
1.0
6.789 -8.561 -0.776
4.798 -9.131 3.686
-7.603 7.500 -2.434
Li P
2 6
direct
0.653 0.653 0.000 Li
0.347 0.347 0.000 Li
0.000 0.500 0.500 P
0.500 0.000 0.500 P
0.750 0.250 0.500 P
0.250 0.750 0.500 P
0.918 0.918 0.000 P
0.082 0.082 0.000 P
```

Values from the calculation:
ΔE_f: 0.114 eV/atom
relative energy among the computed polymorphs: 0.140 eV per atom

| no. | size of the total moment (μB per formula unit) | calculated total energy (eV/atom) |
| --- | --- | --- |
| 1 | 0.0 | -2.591 |
| 2 | 1.0 | -3.652 |
| 3 | 2.7 | -5.252 |
| 4 | 0.1 | -1.992 |
| 5 | 1.1 | -5.279 |
| 6 | 0.0 | -4.422 |